Record 1
A plane-wave DFT calculation with GGA-PBE was carried out for an optimized crystal structure of CdInTeO5.

Structure (POSCAR):
```
CdInTeO5
1.0
6.0629 0.6214 -0.1421
-1.1755 5.9802 -0.1421
-2.2024 -2.9749 7.2622
O In Te Cd
10 2 2 2
direct
0.7364 0.2342 0.4637 O
0.6947 0.6750 0.3503 O
0.2636 0.7658 0.5363 O
0.3053 0.3250 0.6497 O
0.2342 0.7364 0.9637 O
0.3250 0.3053 0.1497 O
0.0579 0.9421 0.2500 O
0.7658 0.2636 0.0363 O
0.6750 0.6947 0.8503 O
0.9421 0.0579 0.7500 O
0.0000 0.0000 0.0000 In
0.0000 0.0000 0.5000 In
0.6602 0.3398 0.2500 Te
0.3398 0.6602 0.7500 Te
0.7015 0.2985 0.7500 Cd
0.2985 0.7015 0.2500 Cd
```

Computed properties:
The calculation puts the theoretical density at 5.47 g/cm3. As for the crystal system: monoclinic. Its uncorrected formation energy is -8.4 eV/f.u. The magnetization comes out at 0.85 Bohr magnetons per cell.

=====

Record 2
A plane-wave DFT calculation with GGA-PBE was carried out for an optimized crystal structure of TiCdIn2O6.

Structure (POSCAR):
```
TiCdIn2O6
1.0
5.4992 0.0000 0.0003
2.7496 4.7623 -0.0001
2.7496 1.5874 4.8879
O Cd In Ti
6 1 2 1
direct
0.9519 0.5822 0.2316 O
0.2342 0.9520 0.2316 O
0.1439 0.3958 0.7633 O
0.3958 0.6970 0.7633 O
0.6970 0.1439 0.7633 O
0.5822 0.2342 0.2316 O
0.7980 0.7980 0.6059 Cd
0.0206 0.0206 0.9381 In
0.5244 0.5245 0.4266 In
0.3134 0.3134 0.0598 Ti
```

Computed properties:
The calculation puts the theoretical density at 6.30 g/cm3. As for the crystal system: trigonal. Its uncorrected formation energy is -18.7 eV/f.u. The magnetization comes out at 0.00 Bohr magnetons per cell.

=====

Record 3
A plane-wave DFT calculation with GGA-PBE was carried out for an optimized crystal structure of Tl4CdInO8.

Structure (POSCAR):
```
Tl4CdInO8
1.0
-2.9136 2.4682 5.6645
-6.7630 0.9355 0.2331
-3.8683 -3.9854 3.8661
O Cd Tl In
8 1 4 1
direct
0.2192 0.7580 0.2648 O
0.7580 0.2192 0.2648 O
0.2478 0.2478 0.7397 O
0.2478 0.7647 0.7397 O
0.7580 0.7580 0.7259 O
0.2470 0.2470 0.2591 O
0.7580 0.7580 0.2648 O
0.7647 0.2478 0.7397 O
0.0005 0.0005 0.9985 Cd
0.4999 0.9998 0.5005 Tl
0.6210 0.6210 0.1370 Tl
0.9998 0.9998 0.5005 Tl
0.9998 0.4999 0.5005 Tl
0.3785 0.3785 0.8646 In
```

Computed properties:
The calculation puts the theoretical density at 8.76 g/cm3. As for the crystal system: trigonal. Its uncorrected formation energy is -11.9 eV/f.u. The magnetization comes out at 0.00 Bohr magnetons per cell.

=====

Record 4
A plane-wave DFT calculation with GGA-PBE was carried out for an optimized crystal structure of TmCdIn4O8.

Structure (POSCAR):
```
TmCdIn4O8
1.0
6.6230 0.0000 0.0000
3.3115 5.7357 0.0000
3.3115 1.9119 5.4625
O In Cd Tm
8 4 1 1
direct
0.7888 0.2375 0.7362 O
0.2205 0.7587 0.2621 O
0.7621 0.7621 0.7137 O
0.7587 0.2205 0.2621 O
0.2359 0.2359 0.2924 O
0.2375 0.7888 0.7362 O
0.2375 0.2375 0.7362 O
0.7587 0.7587 0.2621 O
0.4978 0.0006 0.5010 In
0.0006 0.0006 0.5010 In
0.0006 0.4978 0.5010 In
0.6252 0.6252 0.1244 In
0.3750 0.3750 0.8749 Cd
0.0011 0.0011 0.9968 Tm
```

Computed properties:
The calculation puts the theoretical density at 6.95 g/cm3. As for the crystal system: trigonal. Its uncorrected formation energy is -25.1 eV/f.u. The magnetization comes out at 0.00 Bohr magnetons per cell.

=====

Question: The lowest theoretical density belongs to which entry?
Answer: CdInTeO5